This record from Alexandria describes crystalline ZnGa2MoO6 at its relaxed geometry. The functional is PBE+U.

abc: 5.797 7.061 7.061
angles: 79.46 72.92 72.92
Sites, in units of the cell vectors:
Zn1 0.250 0.904 0.096
Zn2 0.750 0.096 0.904
Ga1 0.328 0.785 0.623
Ga2 0.172 0.377 0.215
Ga3 0.672 0.215 0.377
Ga4 0.828 0.623 0.785
Mo1 0.250 0.258 0.742
Mo2 0.750 0.742 0.258
O1 0.176 0.978 0.799
O2 0.324 0.201 0.022
O3 0.824 0.022 0.201
O4 0.676 0.799 0.978
O5 0.374 0.844 0.349
O6 0.126 0.651 0.156
O7 0.626 0.156 0.651
O8 0.874 0.349 0.844
O9 0.181 0.576 0.719
O10 0.319 0.281 0.424
O11 0.819 0.424 0.281
O12 0.681 0.719 0.576

M_tot, μB per formula unit: 2.00
Calculated total energy, eV per atom: -6.048